Computed, not measured: a relaxed NpInAs2Rh5 crystal at the PBE level of DFT.

Formation enthalpy at 0 K ... -23.9 kJ/mol of atoms
Magnetization ... 0.436 μB/atom
Total energy ... -0.5224 Ry/atom

a b c (Å): 4.049 4.049 10.881
angles (deg): 90.00 90.00 90.00
Last column: magnetic moment on the atom in μB.
Sites, in units of the cell vectors:
Rh 0.500 0.000 0.833  -0.01
Rh 0.000 0.500 0.167  -0.01
Rh 0.500 0.500 0.500  -0.20
Rh 0.500 0.000 0.167  -0.01
Rh 0.000 0.500 0.833  -0.01
Np 0.000 0.000 0.500  3.94
As 0.500 0.500 0.281  -0.01
As 0.500 0.500 0.719  -0.01
In 0.000 0.000 0.000  0.00

***

Computed, not measured: a relaxed ErSiPd crystal at the PBE level of DFT.

Raw formation energy ... -945 meV per atom
Magnetization ... 0.000 μB/atom
Total energy ... -0.4414 Ry/atom

a b c (Å): 5.582 5.582 6.927
angles (deg): 51.55 51.55 44.29
Sites, in units of the cell vectors:
Pd 0.819 0.819 0.747
Pd 0.181 0.181 0.253
Er 0.448 0.448 0.312
Er 0.552 0.552 0.688
Si 0.151 0.151 0.900
Si 0.849 0.849 0.100

***

Computed, not measured: a relaxed LaReBi3 crystal at the PBE level of DFT.

Formation enthalpy at 0 K ... 197.6 kJ/mol of atoms
Magnetization ... 0.054 μB/atom
Total energy ... -0.2760 Ry/atom

a b c (Å): 6.002 6.002 6.002
angles (deg): 90.00 90.00 90.00
Last column: magnetic moment on the atom in μB.
Sites, in units of the cell vectors:
Re 0.500 0.500 0.500  -0.22
La 0.000 0.000 0.000  0.01
Bi 0.000 0.000 0.500  0.04
Bi 0.500 0.000 0.000  -0.01
Bi 0.000 0.500 0.000  0.02

***

Computed, not measured: a relaxed Be2SiTc2 crystal at the PBE level of DFT.

Raw formation energy ... -76 meV per atom
E above lowest polymorph ... 386.9 meV/atom
Magnetization ... 0.000 μB/atom
Total energy ... -0.4996 Ry/atom

a b c (Å): 6.256 6.256 3.185
angles (deg): 90.00 90.00 90.00
Sites, in units of the cell vectors:
Be 0.630 0.870 0.500
Be 0.870 0.370 0.500
Be 0.130 0.630 0.500
Be 0.370 0.130 0.500
Si 0.500 0.500 0.000
Si 0.000 0.000 0.000
Tc 0.840 0.660 0.000
Tc 0.340 0.840 0.000
Tc 0.160 0.340 0.000
Tc 0.660 0.160 0.000

***

Computed, not measured: a relaxed Ce4SbH3Rh12 crystal at the PBE level of DFT.

Magnetization ... 0.000 μB/atom
Total energy ... -0.5024 Ry/atom

a b c (Å): 7.389 7.389 7.389
angles (deg): 109.47 109.47 109.47
Sites, in units of the cell vectors:
Rh 0.708 0.708 0.000
Rh 0.500 0.250 0.750
Rh 0.500 0.750 0.250
Rh 0.250 0.500 0.750
Rh 0.000 0.708 0.708
Rh 0.750 0.250 0.500
Rh 0.250 0.750 0.500
Rh 0.708 0.000 0.708
Rh 0.292 0.000 0.292
Rh 0.750 0.500 0.250
Rh 0.292 0.292 0.000
Rh 0.000 0.292 0.292
H 0.000 0.500 0.500
H 0.500 0.000 0.500
H 0.500 0.500 0.000
Sb 0.000 0.000 0.000
Ce 0.000 0.000 0.500
Ce 0.000 0.500 0.000
Ce 0.500 0.500 0.500
Ce 0.500 0.000 0.000

***

Computed, not measured: a relaxed Mn2SbS4 crystal at the PBE level of DFT.

Raw formation energy ... -323 meV per atom
E above lowest polymorph ... 58.5 meV/atom
Magnetization ... 1.041 μB/atom
Total energy ... -0.4329 Ry/atom

a b c (Å): 6.755 6.755 7.647
angles (deg): 116.21 116.21 90.00
Last column: magnetic moment on the atom in μB.
Sites, in units of the cell vectors:
S 0.007 0.944 0.605  -0.02
S 0.056 0.402 0.395  -0.02
S 0.743 0.306 0.895  -0.02
S 0.152 0.589 0.895  -0.02
S 0.339 0.993 0.395  -0.02
S 0.411 0.257 0.105  -0.02
S 0.694 0.848 0.105  -0.02
S 0.598 0.661 0.605  -0.02
Sb 0.000 0.000 0.000  0.05
Sb 0.750 0.250 0.500  0.05
Mn 0.375 0.625 0.750  3.40
Mn 0.375 0.125 0.750  3.40
Mn 0.875 0.625 0.250  3.40
Mn 0.375 0.625 0.250  3.40

***

Computed, not measured: a relaxed PmAlSi crystal at the PBE level of DFT.

Raw formation energy ... -657 meV per atom
E above lowest polymorph ... 0.0 meV/atom
Magnetization ... 0.000 μB/atom
Total energy ... -0.3893 Ry/atom

a b c (Å): 4.147 4.215 4.215
angles (deg): 120.00 90.00 90.00
Sites, in units of the cell vectors:
Si 0.166 0.000 0.000
Al 0.167 0.667 0.333
Pm 0.667 0.333 0.667

***

Computed, not measured: a relaxed Li4Mg5Hg crystal at the PBE level of DFT.

E above lowest polymorph ... 0.0 meV/atom
Formation enthalpy at 0 K ... -2.8 kJ/mol of atoms
Magnetization ... 0.000 μB/atom
Total energy ... -0.1192 Ry/atom

a b c (Å): 3.215 9.155 12.417
angles (deg): 142.08 97.44 90.00
Sites, in units of the cell vectors:
Li 0.336 0.935 0.672
Li 0.999 0.763 0.998
Li 0.001 0.237 0.002
Li 0.664 0.065 0.328
Mg 0.169 0.766 0.338
Mg 0.834 0.613 0.668
Mg 0.166 0.387 0.332
Mg 0.831 0.234 0.662
Mg 0.500 0.500 0.000
Hg 0.500 0.000 0.000

***

Computed, not measured: a relaxed Na2Li3Sn5 crystal at the PBE level of DFT.

Formation enthalpy at 0 K ... -19.6 kJ/mol of atoms
Magnetization ... 0.000 μB/atom
Total energy ... -0.2236 Ry/atom

a b c (Å): 6.269 9.544 9.544
angles (deg): 87.97 70.83 70.83
Sites, in units of the cell vectors:
Sn 0.494 0.756 0.756
Sn 0.994 0.756 0.756
Sn 0.506 0.244 0.244
Sn 0.387 0.263 0.963
Sn 0.750 0.500 0.500
Sn 0.613 0.737 0.037
Sn 0.113 0.037 0.737
Sn 0.887 0.963 0.263
Sn 0.250 0.500 0.500
Sn 0.006 0.244 0.244
Li 0.872 0.770 0.486
Li 0.750 0.000 0.000
Li 0.372 0.486 0.770
Li 0.250 0.000 0.000
Li 0.628 0.514 0.230
Li 0.128 0.230 0.514
Na 0.367 0.877 0.389
Na 0.133 0.611 0.123
Na 0.633 0.123 0.611
Na 0.867 0.389 0.877

***

Computed, not measured: a relaxed Tb3Ga8Cu3 crystal at the PBE level of DFT.

E above lowest polymorph ... 0.0 meV/atom
Formation enthalpy at 0 K ... -46.8 kJ/mol of atoms
Magnetization ... 0.000 μB/atom
Total energy ... -0.3002 Ry/atom

a b c (Å): 4.272 8.090 8.090
angles (deg): 70.85 74.69 74.69
Sites, in units of the cell vectors:
Tb 0.802 0.198 0.198
Tb 0.198 0.802 0.802
Tb 0.500 0.500 0.500
Ga 0.631 0.658 0.080
Ga 0.845 0.518 0.791
Ga 0.369 0.920 0.342
Ga 0.155 0.209 0.482
Ga 0.155 0.482 0.209
Ga 0.631 0.080 0.658
Ga 0.369 0.342 0.920
Ga 0.845 0.791 0.518
Cu 0.000 0.815 0.185
Cu 0.500 0.000 0.000
Cu 0.000 0.185 0.815

***

Computed, not measured: a relaxed Mg2TaFePb crystal at the PBE level of DFT.

Formation enthalpy at 0 K ... 103.5 kJ/mol of atoms
Magnetization ... 0.230 μB/atom
Total energy ... -0.3212 Ry/atom

a b c (Å): 5.485 4.403 5.485
angles (deg): 90.00 90.00 90.00
Last column: magnetic moment on the atom in μB.
Sites, in units of the cell vectors:
Ta 0.000 0.000 0.000  -0.40
Fe 0.000 0.500 0.000  1.66
Mg 0.500 0.000 0.000  0.00
Mg 0.000 0.000 0.500  0.00
Pb 0.500 0.500 0.500  0.01

***

Computed, not measured: a relaxed Pu6BiPd5 crystal at the PBE level of DFT.

Formation enthalpy at 0 K ... -34.8 kJ/mol of atoms
Magnetization ... 2.891 μB/atom
Total energy ... -0.7360 Ry/atom

a b c (Å): 5.467 6.160 8.865
angles (deg): 90.00 116.24 90.00
Last column: magnetic moment on the atom in μB.
Sites, in units of the cell vectors:
Bi 0.000 0.000 0.000  -0.13
Pu 0.132 0.747 0.351  5.49
Pu 0.500 0.261 0.000  5.46
Pu 0.868 0.747 0.649  5.49
Pu 0.500 0.739 0.000  5.46
Pu 0.132 0.253 0.351  5.49
Pu 0.868 0.253 0.649  5.49
Pd 0.395 0.500 0.679  0.03
Pd 0.604 0.000 0.322  0.03
Pd 0.396 0.000 0.678  0.03
Pd 0.000 0.500 0.000  0.00
Pd 0.605 0.500 0.321  0.03